# 1
Computed, not measured: a geometry-optimized ScZn2H structure at the GGA-PBEsol level of DFT.

abc: 4.362 4.362 4.362
angles: 60.00 60.00 60.00
Sites, in units of the cell vectors:
Zn (0.250, 0.250, 0.250)
Sc (0.500, 0.500, 0.500)
Zn (0.750, 0.750, 0.750)
H (0.000, 0.000, 0.000)

Calculated volume: 14.7 Å³/atom
Total magnetization: 0.0 μB per formula unit
E: -2.818 eV/atom

---

# 2
Computed, not measured: a geometry-optimized Mo5Pt4 structure at the GGA-PBEsol level of DFT.

abc: 3.871 6.215 6.215
angles: 84.43 71.85 71.85
Sites, in units of the cell vectors:
Pt (0.327, 0.673, 0.673)
Mo (0.671, 0.000, 0.658)
Pt (0.000, 0.327, 0.673)
Mo (0.329, 0.000, 0.342)
Mo (0.671, 0.658, 0.000)
Pt (0.000, 0.673, 0.327)
Mo (0.329, 0.342, 0.000)
Pt (0.673, 0.327, 0.327)
Mo (0.000, 0.000, 0.000)

Calculated volume: 15.0 Å³/atom
Total magnetization: 0.0 μB per formula unit
E: -9.866 eV/atom

---

# 3
Computed, not measured: a geometry-optimized AsBrF3 structure at the GGA-PBEsol level of DFT.

abc: 4.442 4.442 4.442
angles: 90.00 90.00 90.00
Each line ends with the local moment (μB).
Sites, in units of the cell vectors:
F (0.000, 0.500, 0.500)  0.03
F (0.500, 0.500, 0.000)  0.03
F (0.500, 0.000, 0.500)  0.03
Br (0.500, 0.500, 0.500)  -0.02
As (0.000, 0.000, 0.000)  1.00

Calculated volume: 17.5 Å³/atom
ΔE_f (raw): 36 meV/atom
Total magnetization: 2.1 μB per formula unit

---

# 4
Computed, not measured: a geometry-optimized SrCaY structure at the GGA-PBEsol level of DFT.

abc: 3.627 6.050 6.050
angles: 120.00 90.00 90.00
Sites, in units of the cell vectors:
Y (0.339, 0.667, 0.333)
Ca (0.989, 0.000, 0.000)
Sr (0.672, 0.333, 0.667)

Calculated volume: 38.3 Å³/atom
Total magnetization: 0.0 μB per formula unit
E: -3.417 eV/atom

---

# 5
Computed, not measured: a geometry-optimized HfFeTcPb2 structure at the GGA-PBEsol level of DFT.

abc: 4.382 5.451 5.451
angles: 90.00 90.00 90.00
Each line ends with the local moment (μB).
Sites, in units of the cell vectors:
Pb (0.000, 0.000, 0.500)  -0.03
Pb (0.000, 0.500, 0.000)  -0.03
Tc (0.500, 0.500, 0.500)  3.20
Fe (0.500, 0.000, 0.000)  1.59
Hf (0.000, 0.000, 0.000)  -0.18

Calculated volume: 26.0 Å³/atom
Total magnetization: 4.8 μB per formula unit
E: -6.017 eV/atom

---

# 6
Computed, not measured: a geometry-optimized Na5LuH4C4O14 structure at the GGA-PBEsol level of DFT.

abc: 7.548 7.548 11.478
angles: 90.00 90.00 90.00
Sites, in units of the cell vectors:
O (0.822, 0.907, 0.146)
C (0.288, 0.177, 0.077)
O (0.342, 0.246, 0.465)
C (0.177, 0.712, 0.923)
Na (0.321, 0.821, 0.711)
Lu (0.500, 0.500, 0.500)
Na (0.679, 0.179, 0.211)
O (0.086, 0.769, 0.383)
C (0.677, 0.788, 0.577)
O (0.914, 0.231, 0.383)
O (0.254, 0.158, 0.965)
O (0.178, 0.093, 0.146)
Na (0.179, 0.321, 0.789)
O (0.246, 0.658, 0.535)
Lu (0.000, 0.000, 0.000)
C (0.212, 0.677, 0.423)
O (0.746, 0.842, 0.965)
O (0.731, 0.414, 0.883)
C (0.323, 0.212, 0.577)
O (0.586, 0.731, 0.117)
Na (0.500, 0.500, 0.000)
O (0.093, 0.822, 0.854)
Na (0.321, 0.821, 0.211)
H (0.436, 0.084, 0.386)
O (0.907, 0.178, 0.854)
H (0.416, 0.064, 0.886)
O (0.322, 0.593, 0.354)
Na (0.179, 0.321, 0.289)
O (0.000, 0.500, 0.166)
H (0.564, 0.916, 0.386)
H (0.916, 0.436, 0.614)
C (0.823, 0.288, 0.923)
O (0.407, 0.322, 0.646)
O (0.842, 0.254, 0.035)
O (0.269, 0.586, 0.883)
H (0.064, 0.584, 0.114)
O (0.231, 0.086, 0.617)
H (0.936, 0.416, 0.114)
C (0.788, 0.323, 0.423)
Na (0.821, 0.679, 0.289)
O (0.500, 0.000, 0.834)
O (0.593, 0.678, 0.646)
O (0.658, 0.754, 0.465)
H (0.084, 0.564, 0.614)
Na (0.679, 0.179, 0.711)
O (0.158, 0.746, 0.035)
O (0.678, 0.407, 0.354)
O (0.754, 0.342, 0.535)
H (0.584, 0.936, 0.886)
O (0.500, 0.000, 0.334)
Na (0.821, 0.679, 0.789)
O (0.000, 0.500, 0.666)
O (0.414, 0.269, 0.117)
Na (0.000, 0.000, 0.500)
C (0.712, 0.823, 0.077)
O (0.769, 0.914, 0.617)

Calculated volume: 11.7 Å³/atom
Total magnetization: 0.0 μB per formula unit
E: -6.663 eV/atom

---

# 7
Computed, not measured: a geometry-optimized LiBr2N structure at the GGA-PBEsol level of DFT.

abc: 5.298 5.298 7.344
angles: 111.15 111.15 90.00
Sites, in units of the cell vectors:
N (0.000, 0.000, 0.000)
Br (0.625, 0.715, 0.750)
N (0.250, 0.750, 0.500)
Li (0.500, 0.500, 0.000)
Br (0.285, 0.875, 0.250)
Li (0.750, 0.250, 0.500)
Br (0.125, 0.035, 0.750)
Br (0.965, 0.375, 0.250)

Calculated volume: 22.2 Å³/atom
ΔE_f (raw): 417 meV/atom
Total magnetization: 0.0 μB per formula unit

---

# 8
Computed, not measured: a geometry-optimized InAgP2O7 structure at the GGA-PBEsol level of DFT.

abc: 7.441 8.388 9.836
angles: 90.00 111.48 90.00
Sites, in units of the cell vectors:
O (0.674, 0.290, 0.625)
O (0.384, 0.337, 0.934)
P (0.584, 0.255, 0.462)
In (0.245, 0.997, 0.745)
O (0.294, 0.638, 0.082)
O (0.192, 0.301, 0.103)
O (0.326, 0.790, 0.875)
O (0.616, 0.837, 0.566)
Ag (0.199, 0.965, 0.189)
O (0.866, 0.618, 0.609)
Ag (0.801, 0.035, 0.811)
P (0.178, 0.292, 0.945)
O (0.294, 0.862, 0.582)
O (0.384, 0.163, 0.434)
O (0.049, 0.085, 0.340)
P (0.822, 0.792, 0.555)
P (0.416, 0.745, 0.538)
In (0.755, 0.497, 0.755)
In (0.755, 0.003, 0.255)
P (0.178, 0.208, 0.445)
O (0.808, 0.801, 0.397)
O (0.534, 0.407, 0.365)
O (0.706, 0.138, 0.418)
Ag (0.801, 0.465, 0.311)
O (0.134, 0.382, 0.391)
O (0.534, 0.093, 0.865)
O (0.808, 0.699, 0.897)
O (0.326, 0.710, 0.375)
O (0.466, 0.907, 0.135)
O (0.049, 0.415, 0.840)
O (0.466, 0.593, 0.635)
O (0.192, 0.199, 0.603)
P (0.584, 0.245, 0.962)
O (0.134, 0.118, 0.891)
Ag (0.199, 0.535, 0.689)
O (0.951, 0.915, 0.660)
O (0.706, 0.362, 0.918)
O (0.674, 0.210, 0.125)
O (0.866, 0.882, 0.109)
P (0.822, 0.708, 0.055)
P (0.416, 0.755, 0.038)
In (0.245, 0.503, 0.245)
O (0.951, 0.585, 0.160)
O (0.616, 0.663, 0.066)

Calculated volume: 13.0 Å³/atom
ΔE_f (raw): -1831 meV/atom
Total magnetization: 0.0 μB per formula unit

---

# 9
Computed, not measured: a geometry-optimized TlRuPt structure at the GGA-PBEsol level of DFT.

abc: 2.949 2.949 6.661
angles: 90.00 90.00 120.00
Sites, in units of the cell vectors:
Ru (0.333, 0.667, 0.679)
Pt (0.000, 0.000, 0.984)
Tl (0.667, 0.333, 0.337)

Calculated volume: 16.7 Å³/atom
Energy above the most stable polymorph in this dataset: 0.0 meV per atom
Total magnetization: 0.0 μB per formula unit

---

# 10
Computed, not measured: a geometry-optimized YFeCl2 structure at the GGA-PBEsol level of DFT.

abc: 3.191 3.191 9.592
angles: 90.00 90.00 90.00
Each line ends with the local moment (μB).
Sites, in units of the cell vectors:
Fe (0.500, 0.500, 0.000)  3.30
Cl (0.000, 0.000, 0.666)  0.00
Y (0.500, 0.500, 0.500)  0.00
Cl (0.000, 0.000, 0.334)  0.00

Calculated volume: 24.4 Å³/atom
ΔE_f (raw): -461 meV/atom
Energy above the most stable polymorph in this dataset: 360.5 meV per atom
Total magnetization: 3.5 μB per formula unit

---

# 11
Computed, not measured: a geometry-optimized Mg2AlZn structure at the GGA-PBEsol level of DFT.

abc: 2.991 2.991 8.228
angles: 90.00 90.00 90.00
Sites, in units of the cell vectors:
Zn (0.000, 0.000, 0.514)
Al (0.500, 0.500, 0.724)
Mg (0.000, 0.000, 0.984)
Mg (0.500, 0.500, 0.278)

Calculated volume: 18.4 Å³/atom
Total magnetization: 0.0 μB per formula unit
E: -2.269 eV/atom

---

# 12
Computed, not measured: a geometry-optimized TiHgTe2N structure at the GGA-PBEsol level of DFT.

abc: 3.964 5.629 5.629
angles: 90.00 90.00 90.00
Each line ends with the local moment (μB).
Sites, in units of the cell vectors:
Te (0.000, 0.000, 0.500)  0.00
Hg (0.000, 0.000, 0.000)  0.07
Te (0.000, 0.500, 0.000)  0.00
N (0.500, 0.000, 0.000)  0.87
Ti (0.500, 0.500, 0.500)  1.55

Calculated volume: 25.1 Å³/atom
ΔE_f (raw): 1155 meV/atom
Total magnetization: 3.2 μB per formula unit

---

# 13
Computed, not measured: a geometry-optimized LiReOs structure at the GGA-PBEsol level of DFT.

abc: 2.610 4.217 4.217
angles: 120.00 90.00 90.00
Sites, in units of the cell vectors:
Re (0.358, 0.667, 0.333)
Li (0.996, 0.000, 0.000)
Os (0.646, 0.333, 0.667)

Calculated volume: 13.4 Å³/atom
Total magnetization: 0.0 μB per formula unit
E: -8.948 eV/atom

---

# 14
Computed, not measured: a geometry-optimized TcIr2Rh structure at the GGA-PBEsol level of DFT.

abc: 2.683 3.827 5.385
angles: 90.00 90.00 90.00
Sites, in units of the cell vectors:
Ir (0.000, 0.000, 0.996)
Tc (0.500, 0.500, 0.750)
Rh (0.000, 0.000, 0.502)
Ir (0.500, 0.500, 0.251)

Calculated volume: 13.8 Å³/atom
Energy above the most stable polymorph in this dataset: 31.8 meV per atom
Total magnetization: 0.0 μB per formula unit

---

# 15
Computed, not measured: a geometry-optimized HgPbBr4 structure at the GGA-PBEsol level of DFT.

abc: 6.214 6.214 6.214
angles: 60.00 60.00 60.00
Each line ends with the local moment (μB).
Sites, in units of the cell vectors:
Br (0.876, 0.375, 0.375)  0.13
Br (0.375, 0.375, 0.375)  0.13
Br (0.375, 0.375, 0.876)  0.13
Br (0.375, 0.876, 0.375)  0.13
Pb (0.000, 0.000, 0.000)  0.01
Hg (0.750, 0.750, 0.750)  0.00

Calculated volume: 28.3 Å³/atom
ΔE_f (raw): 167 meV/atom
Total magnetization: 0.7 μB per formula unit

---

# 16
Computed, not measured: a geometry-optimized BiTePS2 structure at the GGA-PBEsol level of DFT.

abc: 4.926 4.926 5.062
angles: 90.00 90.00 90.00
Sites, in units of the cell vectors:
Bi (0.500, 0.500, 0.500)
S (0.500, 0.000, 0.000)
Te (0.000, 0.000, 0.000)
S (0.000, 0.500, 0.000)
P (0.000, 0.000, 0.500)

Calculated volume: 24.6 Å³/atom
ΔE_f (raw): 585 meV/atom
Energy above the most stable polymorph in this dataset: 0.0 meV per atom
Total magnetization: 0.0 μB per formula unit

---

# 17
Computed, not measured: a geometry-optimized Mg2InIr structure at the GGA-PBEsol level of DFT.

abc: 3.164 3.164 7.300
angles: 90.00 90.00 90.00
Sites, in units of the cell vectors:
In (0.500, 0.500, 0.000)
Mg (0.000, 0.000, 0.699)
Mg (0.000, 0.000, 0.301)
Ir (0.500, 0.500, 0.500)

Calculated volume: 18.3 Å³/atom
Total magnetization: 0.0 μB per formula unit
E: -4.297 eV/atom

---

# 18
Computed, not measured: a geometry-optimized Tl3BiI6 structure at the GGA-PBEsol level of DFT.

abc: 8.915 13.312 13.364
angles: 104.65 90.00 90.00
Sites, in units of the cell vectors:
Tl (0.635, 0.980, 0.204)
I (0.812, 0.615, 0.682)
I (0.312, 0.885, 0.318)
I (0.149, 0.613, 0.104)
I (0.513, 0.822, 0.567)
Bi (0.504, 0.298, 0.268)
I (0.815, 0.206, 0.188)
Tl (0.878, 0.871, 0.648)
Tl (0.378, 0.629, 0.352)
Tl (0.848, 0.686, 0.952)
I (0.013, 0.678, 0.433)
I (0.491, 0.581, 0.899)
I (0.188, 0.385, 0.318)
I (0.351, 0.113, 0.104)
I (0.185, 0.794, 0.812)
I (0.671, 0.473, 0.410)
I (0.685, 0.706, 0.188)
Bi (0.496, 0.702, 0.732)
Tl (0.135, 0.520, 0.796)
Tl (0.348, 0.814, 0.048)
Tl (0.865, 0.480, 0.204)
I (0.987, 0.322, 0.567)
Tl (0.365, 0.020, 0.796)
I (0.487, 0.178, 0.433)
I (0.329, 0.527, 0.590)
Tl (0.622, 0.371, 0.648)
I (0.829, 0.973, 0.410)
I (0.649, 0.887, 0.896)
Tl (0.122, 0.129, 0.352)
I (0.991, 0.919, 0.101)
Tl (0.652, 0.186, 0.952)
I (0.851, 0.387, 0.896)
I (0.315, 0.294, 0.812)
I (0.509, 0.419, 0.101)
I (0.171, 0.027, 0.590)
I (0.688, 0.115, 0.682)
I (0.009, 0.081, 0.899)
Bi (0.004, 0.202, 0.732)
Tl (0.152, 0.314, 0.048)
Bi (0.996, 0.798, 0.268)

Calculated volume: 38.4 Å³/atom
ΔE_f (raw): -530 meV/atom
Total magnetization: 0.0 μB per formula unit

---

# 19
Computed, not measured: a geometry-optimized CdSiN3 structure at the GGA-PBEsol level of DFT.

abc: 4.158 4.158 4.158
angles: 90.00 90.00 90.00
Each line ends with the local moment (μB).
Sites, in units of the cell vectors:
Si (0.500, 0.500, 0.500)  -0.06
Cd (0.000, 0.000, 0.000)  0.08
N (0.000, 0.500, 0.000)  0.88
N (0.500, 0.000, 0.000)  0.88
N (0.000, 0.000, 0.500)  0.88

Calculated volume: 14.4 Å³/atom
ΔE_f (raw): 2450 meV/atom
Total magnetization: 3.5 μB per formula unit

---

# 20
Computed, not measured: a geometry-optimized CdMoPb2 structure at the GGA-PBEsol level of DFT.

abc: 3.475 3.475 7.532
angles: 90.00 90.00 90.00
Sites, in units of the cell vectors:
Cd (0.000, 0.000, 0.539)
Mo (0.500, 0.500, 0.749)
Pb (0.500, 0.500, 0.269)
Pb (0.000, 0.000, 0.942)

Calculated volume: 22.7 Å³/atom
Total magnetization: 0.0 μB per formula unit
E: -4.663 eV/atom

---

# 21
Computed, not measured: a geometry-optimized ScWBr2 structure at the GGA-PBEsol level of DFT.

abc: 3.223 4.550 6.924
angles: 93.16 103.46 90.00
Sites, in units of the cell vectors:
Br (0.155, 0.226, 0.310)
Sc (0.500, 0.000, 0.000)
W (0.000, 0.500, 0.000)
Br (0.845, 0.774, 0.690)

Calculated volume: 24.6 Å³/atom
ΔE_f (raw): -27 meV/atom
Energy above the most stable polymorph in this dataset: 162.6 meV per atom
Total magnetization: 0.0 μB per formula unit

---

# 22
Computed, not measured: a geometry-optimized TaCrCl structure at the GGA-PBEsol level of DFT.

abc: 2.925 2.925 6.178
angles: 103.69 103.69 90.00
Each line ends with the local moment (μB).
Sites, in units of the cell vectors:
Ta (0.666, 0.666, 0.332)  -0.09
Cr (0.318, 0.318, 0.635)  2.91
Cl (0.016, 0.016, 0.033)  0.00

Calculated volume: 16.6 Å³/atom
ΔE_f (raw): 321 meV/atom
Energy above the most stable polymorph in this dataset: 118.5 meV per atom
Total magnetization: 3.1 μB per formula unit